(one)
LiYNb3: PBEsol geometry, SCAN.

Theoretical density ... 5.3 g/cm³
Total magnetization ... 0.00 μB/atom
Space group ... Pm-3m (221)

a = 4.910 Å, b = 4.910 Å, c = 4.910 Å
α = 90.00°, β = 90.00°, γ = 90.00°
Fractional coordinates of all 5 atoms:
Li1 0.000 0.000 0.000
Y1 0.500 0.500 0.500
Nb1 0.000 0.500 0.500
Nb2 0.500 0.000 0.500
Nb3 0.500 0.500 0.000

---

(two)
LiYNb3: PBEsol geometry, SCAN.

Theoretical density ... 6.5 g/cm³
Total magnetization ... 0.00 μB/atom
Space group ... Pm-3m (221)

a = 4.584 Å, b = 4.584 Å, c = 4.584 Å
α = 90.00°, β = 90.00°, γ = 90.00°
Fractional coordinates of all 5 atoms:
Li1 0.000 0.000 0.000
Y1 0.500 0.500 0.500
Nb1 0.000 0.000 0.500
Nb2 0.000 0.500 0.000
Nb3 0.500 0.000 0.000

---

What should be chosen as the least stable of them? Choose (one).

---

(one)
Li4Ni: PBEsol geometry, SCAN.

Theoretical density ... 2.0 g/cm³
Total magnetization ... 0.00 μB/atom
Space group ... I4/m (87)

a = 4.679 Å, b = 4.679 Å, c = 4.679 Å
α = 100.17°, β = 100.17°, γ = 130.31°
Fractional coordinates of all 5 atoms:
Li1 0.108 0.287 0.395
Li2 0.287 0.892 0.178
Li3 0.713 0.108 0.822
Li4 0.892 0.713 0.605
Ni1 0.500 0.500 0.000

---

(two)
Li4Ni: PBEsol geometry, SCAN.

Theoretical density ... 1.6 g/cm³
Total magnetization ... 0.00 μB/atom
Space group ... Im-3m (229)

a = 4.890 Å, b = 4.890 Å, c = 4.890 Å
α = 109.47°, β = 109.47°, γ = 109.47°
Fractional coordinates of all 5 atoms:
Li1 0.000 0.000 0.500
Li2 0.000 0.500 0.000
Li3 0.500 0.000 0.000
Li4 0.500 0.500 0.500
Ni1 0.000 0.000 0.000

---

What should be chosen as the least stable of them? Choose (two).